Record 1
Material: Tl6Pd2Pt
Method: DFT, GGA-PBE
State: optimized geometry

Results
Space-group type   C2/m, No. 12

Cell lengths 3.9544, 6.5182, 9.1094 Å; angles 96.62, 90.00, 107.66 degrees
Last column: nearest neighbours and their distance in Å.
Fractional coordinates of all 9 atoms:
Tl1 0.8440 0.6880 0.4426  2 Pt 2.77, 2 Pd 2.88
Tl2 0.1560 0.3120 0.5574  2 Pt 2.77, 2 Pd 2.88
Tl3 0.8552 0.7103 0.0727  3 Pd 2.98-2.99
Tl4 0.1448 0.2897 0.9273  3 Pd 2.98-2.99
Tl5 0.5659 0.1317 0.2154  1 Pt 2.81, 2 Pd 2.92
Tl6 0.4341 0.8683 0.7846  1 Pt 2.81, 2 Pd 2.92
Pd1 0.2403 0.4805 0.2438  8 Tl 2.88-3.16
Pd2 0.7597 0.5195 0.7562  8 Tl 2.88-3.16
Pt1 0.5000 0.0000 0.5000  6 Tl 2.77-2.81

---

Record 2
Material: TlPd7Pt2
Method: DFT, GGA-PBE
State: optimized geometry

Results
Space-group type   Cmmm, No. 65

Cell lengths 4.4700, 7.3770, 7.3770 Å; angles 120.98, 90.00, 90.00 degrees
Last column: nearest neighbours and their distance in Å.
Fractional coordinates of all 10 atoms:
Tl1 0.0000 0.0000 0.0000  10 Pd 2.67-2.96
Pd1 0.0000 0.7919 0.2081  2 Pt 2.53, 1 Tl 2.67
Pd2 0.0000 0.2081 0.7919  2 Pt 2.53, 1 Tl 2.67
Pd3 0.5000 0.0720 0.2933  2 Pt 2.57-2.78, 3 Pd 2.65-2.84
Pd4 0.5000 0.9280 0.7067  2 Pt 2.57-2.78, 3 Pd 2.65-2.84
Pd5 0.5000 0.2933 0.0720  2 Pt 2.57-2.78, 3 Pd 2.65-2.84
Pd6 0.5000 0.7067 0.9280  2 Pt 2.57-2.78, 3 Pd 2.65-2.84
Pd7 0.5000 0.5000 0.5000  2 Pt 2.56, 4 Pd 2.71
Pt1 0.5000 0.6995 0.3005  7 Pd 2.53-2.78
Pt2 0.5000 0.3005 0.6995  7 Pd 2.53-2.78

---

no.,energy of formation from the pure elements (meV/atom),final energy (eV/atom)
1,-42,-3.4446
2,391,-4.6890